(1)
## TlSb2 (PBE)

Data for a relaxed TlSb2 crystal.

The calculation puts the formation energy without anion corrections at 0.052 eV per atom. The value obtained for the raw total energy is -0.128 Ha/atom.

Geometry as POSCAR:
```
TlSb2
1.0
6.2035 -2.0221 0.0000
6.2035 2.0221 0.0000
-5.1525 0.0000 7.9386
Tl Sb
2 4
Direct
0.1924 0.1924 0.1545
0.8076 0.8076 0.8455
0.1031 0.1031 0.4665
0.4898 0.4898 0.2064
0.5102 0.5102 0.7936
0.8969 0.8969 0.5335
```

=====

(2)
## Pm3Sm2Cd2 (PBE)

Data for a relaxed Pm3Sm2Cd2 crystal.

The value obtained for the raw total energy is -0.136 Ha/atom. Its energy above the most stable polymorph in this dataset is 0.106 eV/atom.

Geometry as POSCAR:
```
Pm3Sm2Cd2
1.0
2.4996 -11.9151 0.0000
2.4996 11.9151 0.0000
0.0000 0.0000 3.5328
Pm Sm Cd
3 2 2
Direct
0.0000 0.0000 0.0000
0.1400 0.8600 0.0000
0.8600 0.1400 0.0000
0.2903 0.7097 0.5000
0.7097 0.2903 0.5000
0.4315 0.5685 0.5000
0.5685 0.4315 0.5000
```

=====

(3)
## LiAsOs2 (PBE)

Data for a relaxed LiAsOs2 crystal.

The value obtained for the raw total energy is -0.254 Ha/atom.

Geometry as POSCAR:
```
LiAsOs2
1.0
2.7732 0.0000 0.0000
0.0000 4.3328 0.0000
-0.0409 0.0000 4.7913
Li As Os
1 1 2
Direct
0.0000 0.0000 0.0000
0.5000 0.0000 0.5000
0.2877 0.5000 0.2330
0.7123 0.5000 0.7670
```